Ga2Rh2W: optimized geometry, PBE.

* crystal system: tetragonal
* mass density: 11.80 Mg/m³
* electronic total energy: -6.868 eV per atom
* Fermi-level density of states: 0.57 states/eV per atom
* magnetic moment: 0.000 μB/cell

a b c (Å): 7.262 7.262 2.825
angles (deg): 90.00 90.00 90.00
Space group P4/mbm (No. 127)
One atom of each set of equivalent atoms:
Ga 0.162 0.338 0.000 x4
Rh 0.136 0.636 0.500 x4
W 0.000 0.000 0.500 x2